[1]
DFT (PBE) results for a geometry-optimized Ac4SiSeI2 structure.

a b c (Å): 4.5878 7.8596 8.4556
angles (deg): 108.52 90.00 90.00
With the nearest neighbours (Å) after each atom.
Element x y z (fractional)
Ac 0.5000 0.2423 0.2022  1 Si 3.04, 2 Se 3.12
Ac 0.5000 0.7577 0.7978  1 Si 3.04, 2 Se 3.12
Ac 0.0000 0.2729 0.7992  2 Si 3.07, 1 Se 3.13
Ac 0.0000 0.7271 0.2008  2 Si 3.07, 1 Se 3.13
Si 0.5000 0.5000 0.0000  6 Ac 3.04-3.07
Se 0.0000 0.0000 0.0000  6 Ac 3.12-3.13
I 0.5000 0.0000 0.5000  6 Ac 3.58-3.61
I 0.0000 0.5000 0.5000  6 Ac 3.53

## Properties
VASP energy	-4.725	eV per atom
symmetry	No. 10
ρ	7288	kg/m3

---

[2]
DFT (PBE) results for a geometry-optimized Ac6Si3Se2I structure.

a b c (Å): 4.5930 9.2454 10.2908
angles (deg): 103.06 102.89 90.00
With the nearest neighbours (Å) after each atom.
Element x y z (fractional)
Ac 0.3230 0.9206 0.6461  3 Si 3.11-3.20, 2 Se 3.32, 1 I 3.45
Ac 0.6640 0.5920 0.3281  3 Si 3.20, 3 Se 3.30-3.33
Ac 0.6770 0.0794 0.3539  3 Si 3.11-3.20, 2 Se 3.32, 1 I 3.45
Ac 0.9978 0.2764 0.9957  3 Si 3.08-3.16, 1 Se 3.31, 2 I 3.44
Ac 0.0022 0.7236 0.0043  3 Si 3.08-3.16, 1 Se 3.31, 2 I 3.44
Ac 0.3360 0.4080 0.6719  3 Si 3.20, 3 Se 3.30-3.33
Si 0.5000 0.5000 0.0000  6 Ac 3.08-3.20
Si 0.8363 0.1665 0.6726  6 Ac 3.11-3.20
Si 0.1637 0.8335 0.3274  6 Ac 3.11-3.20
Se 0.8330 0.6667 0.6661  6 Ac 3.30-3.33
Se 0.1670 0.3333 0.3339  6 Ac 3.30-3.33
I 0.5000 0.0000 0.0000  6 Ac 3.44-3.45

## Properties
VASP energy	-5.261	eV per atom
symmetry	No. 12
ρ	6937	kg/m3

---

[3]
DFT (PBE) results for a geometry-optimized Ac3SiI3 structure.

a b c (Å): 9.2236 9.2236 7.8559
angles (deg): 92.51 92.51 113.55
With the nearest neighbours (Å) after each atom.
Element x y z (fractional)
Ac 0.9300 0.9300 0.2339  2 Si 2.96-2.97
Ac 0.8083 0.5304 0.6815  1 Si 2.91
Ac 0.5304 0.8083 0.6815  1 Si 2.91
Ac 0.1917 0.4696 0.3185  1 Si 2.91
Ac 0.4696 0.1917 0.3185  1 Si 2.91
Ac 0.0700 0.0700 0.7661  2 Si 2.96-2.97
Si 0.7982 0.7982 0.8822  4 Ac 2.91-2.97
Si 0.2018 0.2018 0.1178  4 Ac 2.91-2.97
I 0.6086 0.6086 0.3312  5 Ac 3.40-3.53, 1 I 3.58
I 0.1709 0.8291 0.5000  6 Ac 3.40-3.77
I 0.8291 0.1709 0.5000  6 Ac 3.40-3.77
I 0.2723 0.7277 0.0000  2 Ac 3.43
I 0.7277 0.2723 0.0000  2 Ac 3.43
I 0.3914 0.3914 0.6688  5 Ac 3.40-3.53, 1 I 3.58

## Properties
energy above the most stable polymorph in this dataset	433	meV/atom
symmetry	No. 12
ρ	5927	kg/m3

---

Ordered volume results: 289, 414, 611; unit Å³ per cell.